Here is crystalline LiNbFe2 at its relaxed geometry from OQMD. Energies are from PBE.

The structure belongs to space group F-43m (No. 216); the cell edges are 5.906, 5.906 and 5.906 Å and the angles 90.00°, 90.00° and 90.00°. Symmetry generates all atoms from Li at (0.000, 0.000, 0.000), Nb at (0.250, 0.250, 0.750), Fe at (0.000, 0.000, 0.500) and Fe at (0.250, 0.250, 0.250).

The crystal system is cubic. The value obtained for the total energy is -6.905 eV per atom.